Record 1
The following is a PBE calculation of V2AgRh2 after structural relaxation, from the Alexandria database.

Cell lengths 7.378, 7.378, 2.758 Å; angles 90.00, 90.00, 90.00 degrees
Space group P4/mbm (No. 127)
Symmetry-distinct sites (fractional):
V 0.160 0.340 0.000 (multiplicity 4)
Ag 0.000 0.000 0.500 (multiplicity 2)
Rh 0.135 0.635 0.500 (multiplicity 4)

## Properties
ΔH_f (0 K) ... -147 meV per atom
D(E_F) ... 5.2 states/eV/f.u.
Spin magnetization ... 0.0000 μB per atom

---

Record 2
The following is a PBE calculation of PrAl6Pt3 after structural relaxation, from the Alexandria database.

Cell lengths 8.838, 4.310, 9.570 Å; angles 90.00, 92.45, 90.00 degrees
Space group P2_1/m (No. 11)
Symmetry-distinct sites (fractional):
Pr 0.052 0.250 0.302 (multiplicity 2)
Al 0.107 0.750 0.033 (multiplicity 2)
Al 0.201 0.250 0.628 (multiplicity 2)
Al 0.300 0.750 0.262 (multiplicity 2)
Al 0.315 0.750 0.791 (multiplicity 2)
Al 0.429 0.250 0.426 (multiplicity 2)
Al 0.467 0.250 0.909 (multiplicity 2)
Pt 0.178 0.250 0.894 (multiplicity 2)
Pt 0.284 0.750 0.520 (multiplicity 2)
Pt 0.394 0.250 0.157 (multiplicity 2)

## Properties
ΔH_f (0 K) ... -903 meV per atom
D(E_F) ... 4.3 states/eV/f.u.
Spin magnetization ... 0.0000 μB per atom

---

Record 3
The following is a PBE calculation of AlGa2Au6 after structural relaxation, from the Alexandria database.

Cell lengths 11.664, 4.661, 7.687 Å; angles 90.00, 127.70, 90.00 degrees
Space group C2/m (No. 12)
Symmetry-distinct sites (fractional):
Al 0.000 0.000 0.000 (multiplicity 2)
Ga 0.133 0.000 0.470 (multiplicity 4)
Au 0.003 0.500 0.819 (multiplicity 4)
Au 0.163 0.000 0.853 (multiplicity 4)
Au 0.205 0.500 0.671 (multiplicity 4)

## Properties
ΔH_f (0 K) ... -168 meV per atom
D(E_F) ... 2.9 states/eV/f.u.
Spin magnetization ... 0.0000 μB per atom

---

Record 4
The following is a PBE calculation of RbNi4Ag2 after structural relaxation, from the Alexandria database.

Cell lengths 4.686, 4.686, 13.449 Å; angles 90.00, 90.00, 90.00 degrees
Space group I4/mmm (No. 139)
Symmetry-distinct sites (fractional):
Rb 0.000 0.000 0.000 (multiplicity 2)
Ni 0.000 0.000 0.214 (multiplicity 4)
Ni 0.000 0.500 0.000 (multiplicity 4)
Ag 0.000 0.000 0.396 (multiplicity 4)

## Properties
ΔH_f (0 K) ... 1656 meV per atom
D(E_F) ... 18.5 states/eV/f.u.
Spin magnetization ... 0.1888 μB per atom